La4Pr3Ho5 | PBE | optimized geometry

Cell: 6.0845 8.7217 9.7763 Å, 104.69 71.87 69.59°
Last column: nearest neighbours and their distance in Å.
Positions (direct):
La  0.8632  0.2244  0.0491  2 La 3.40-3.72, 1 Pr 3.51, 5 Ho 3.53-3.80
La  0.1773  0.0344  0.6109  3 Pr 3.34-3.68, 3 La 3.59-3.72
La  0.8227  0.9656  0.3891  3 Pr 3.34-3.68, 3 La 3.59-3.72
La  0.1368  0.7756  0.9509  2 La 3.40-3.72, 1 Pr 3.51, 5 Ho 3.53-3.80
Pr  0.0000  0.5000  0.5000  4 Ho 3.04-3.37
Pr  0.5256  0.6915  0.2573  5 Ho 3.23-3.52, 2 La 3.34-3.51
Pr  0.4744  0.3085  0.7427  5 Ho 3.23-3.52, 2 La 3.34-3.51
Ho  0.3673  0.0650  0.2003  2 Pr 3.30-3.51, 2 Ho 3.43-3.60
Ho  0.6327  0.9350  0.7997  2 Pr 3.30-3.51, 2 Ho 3.43-3.60
Ho  0.5000  0.5000  0.5000  4 Pr 3.04-3.23
Ho  0.7941  0.5368  0.8749  4 Pr 3.25-3.52, 3 La 3.53-3.54, 1 Ho 3.60
Ho  0.2059  0.4632  0.1251  4 Pr 3.25-3.52, 3 La 3.53-3.54, 1 Ho 3.60

The space group is No. 12. The density is 7.1 g/cm³. As for the magnetic moment: 0.0 Bohr magnetons per cell. The formation energy is 0.21 eV/atom.